TbYTm2As4 | PBE | relaxed

Properties
DFT formation energy, eV per atom: -1.53
E, eV per atom: -6.356
Size of the total moment, μB per formula unit: 0.000

abc: 7.0953 4.0989 7.0964
angles: 90.00 109.47 90.00
Atoms (fractional coordinates):
1 Tb 0.0000 0.0000 0.0000
2 Y 0.0000 0.5000 0.5000
3 Tm 0.5000 0.0000 0.5000
4 Tm 0.5000 0.5000 0.0000
5 As 0.2545 0.0000 0.7512
6 As 0.2546 0.5000 0.2518
7 As 0.7454 0.5000 0.7482
8 As 0.7455 0.0000 0.2488